Record 1
The following is a DFT calculation (PBE) of Tb2Mg6Sc after structural relaxation.

abc: 8.9978 8.9978 3.2298
angles: 90.00 90.00 120.00
With the nearest neighbours (Å) after each atom.
Positions (direct):
Mg (0.6726, 0.6726, 0.5000)  5 Mg 2.95-3.23
Mg (0.3274, 0.3274, 0.5000)  5 Mg 2.95-3.23
Mg (0.6726, 0.0000, 0.5000)  5 Mg 2.95-3.23
Mg (0.3274, 0.0000, 0.5000)  5 Mg 2.95-3.23
Mg (0.0000, 0.3274, 0.5000)  5 Mg 2.95-3.23
Mg (0.0000, 0.6726, 0.5000)  5 Mg 2.95-3.23
Sc (0.0000, 0.0000, 0.0000)  2 Sc 3.23, 12 Mg 3.36
Tb (0.3333, 0.6667, 0.0000)  2 Tb 3.23, 12 Mg 3.43
Tb (0.6667, 0.3333, 0.0000)  2 Tb 3.23, 12 Mg 3.43

## Properties
Space-group type ... P6/mmm, No. 191
Theoretical density ... 3.73 g/cm³
Calculated total energy ... -0.20939 Ry/atom
Energy of formation from the pure elements ... -0.053 eV/atom

---

Record 2
The following is a DFT calculation (PBE) of Y3IrPd2 after structural relaxation.

abc: 7.7809 7.7809 7.0174
angles: 90.00 90.00 143.08
With the nearest neighbours (Å) after each atom.
Positions (direct):
Ir (0.6644, 0.3356, 0.0000)  8 Y 2.97-2.99
Ir (0.3356, 0.6644, 0.0000)  8 Y 2.97-2.99
Y (0.8307, 0.1693, 0.7581)  3 Ir 2.98-2.99, 5 Pd 3.02-3.09
Y (0.1693, 0.8307, 0.7581)  3 Ir 2.98-2.99, 5 Pd 3.02-3.09
Y (0.5000, 0.5000, 0.2440)  2 Ir 2.97, 6 Pd 3.00-3.05
Y (0.8307, 0.1693, 0.2419)  3 Ir 2.98-2.99, 5 Pd 3.02-3.09
Y (0.5000, 0.5000, 0.7560)  2 Ir 2.97, 6 Pd 3.00-3.05
Y (0.1693, 0.8307, 0.2419)  3 Ir 2.98-2.99, 5 Pd 3.02-3.09
Pd (0.0000, 0.0000, 0.5000)  8 Y 3.05-3.09
Pd (0.6665, 0.3335, 0.5000)  8 Y 3.03-3.06
Pd (0.0000, 0.0000, 0.0000)  8 Y 3.00-3.02
Pd (0.3335, 0.6665, 0.5000)  8 Y 3.03-3.06

## Properties
Space-group type ... Cmmm, No. 65
Theoretical density ... 8.74 g/cm³
Calculated total energy ... -0.53787 Ry/atom
Energy of formation from the pure elements ... -0.878 eV/atom

---

Record 3
The following is a DFT calculation (PBE) of LiLaMg2Tl5 after structural relaxation.

abc: 5.0201 6.7069 8.6639
angles: 112.77 106.84 90.00
With the nearest neighbours (Å) after each atom.
Positions (direct):
Tl (0.0000, 0.0000, 0.0000)  2 Li 2.51
Tl (0.6415, 0.8777, 0.2829)  1 Li 2.78, 1 Mg 3.00
Tl (0.3585, 0.5948, 0.7171)  1 Li 2.78, 1 Mg 3.00
Tl (0.3585, 0.1223, 0.7171)  1 Li 2.78, 1 Mg 3.00
Tl (0.6415, 0.4052, 0.2829)  1 Li 2.78, 1 Mg 3.00
Mg (0.8096, 0.8096, 0.6192)  7 Tl 2.89-3.16
Mg (0.1904, 0.1904, 0.3808)  7 Tl 2.89-3.16
La (0.0000, 0.5000, 0.0000)  10 Tl 3.35-3.66
Li (0.5000, 0.0000, 0.0000)  6 Tl 2.51-2.78

## Properties
Space-group type ... Immm, No. 71
Theoretical density ... 7.91 g/cm³
Calculated total energy ... -0.17935 Ry/atom
Energy of formation from the pure elements ... -0.011 eV/atom

---

Record 4
The following is a DFT calculation (PBE) of MgGeH after structural relaxation.

abc: 4.8184 4.8184 3.9984
angles: 90.00 90.00 90.00
With the nearest neighbours (Å) after each atom.
Positions (direct):
H (0.5000, 0.0000, 0.2629)  1 Ge 1.59
H (0.0000, 0.5000, 0.7371)  1 Ge 1.59
Mg (0.0000, 0.0000, 0.5000)  4 H 2.59, 4 Ge 2.82
Mg (0.5000, 0.5000, 0.5000)  4 H 2.59, 4 Ge 2.82
Ge (0.0000, 0.5000, 0.1346)  1 H 1.59
Ge (0.5000, 0.0000, 0.8654)  1 H 1.59

## Properties
Space-group type ... P4/nmm, No. 129
Theoretical density ... 3.50 g/cm³
Calculated total energy ... -0.22360 Ry/atom